Density functional theory data (PBE) for a relaxed structure of CePr4O10.

a = 16.4730 Å, b = 16.4730 Å, c = 16.4730 Å
α = 14.00°, β = 14.00°, γ = 14.00°
Last column: nearest neighbours and their distance in Å.
Atoms (fractional coordinates):
O1 0.2512 0.2512 0.2512  4 Pr 2.47
O2 0.8503 0.8503 0.8503  4 Pr 2.47-2.50
O3 0.9536 0.9536 0.9536  1 Ce 2.27, 3 Pr 2.48
O4 0.0464 0.0464 0.0464  1 Ce 2.27, 3 Pr 2.48
O5 0.3471 0.3471 0.3471  3 Ce 2.41, 1 Pr 2.49, 3 O 2.68
O6 0.7488 0.7488 0.7488  4 Pr 2.47
O7 0.4492 0.4492 0.4492  4 Pr 2.46-2.51
O8 0.1497 0.1497 0.1497  4 Pr 2.47-2.50
O9 0.6529 0.6529 0.6529  3 Ce 2.41, 1 Pr 2.49, 3 O 2.68
O10 0.5508 0.5508 0.5508  4 Pr 2.46-2.51
Pr1 0.3980 0.3980 0.3980  8 O 2.47-2.51
Pr2 0.6020 0.6020 0.6020  8 O 2.47-2.51
Pr3 0.7992 0.7992 0.7992  8 O 2.46-2.50
Pr4 0.2008 0.2008 0.2008  8 O 2.46-2.50
Ce1 0.0000 0.0000 0.0000  8 O 2.27-2.41

Summary:
**SG**: R-3m (166)
**ΔE_f (raw)**: -2734 meV/atom

=====

Density functional theory data (PBE) for a relaxed structure of ZrBi2Pb.

a = 3.4794 Å, b = 3.4794 Å, c = 11.6992 Å
α = 81.45°, β = 81.45°, γ = 60.00°
Last column: nearest neighbours and their distance in Å.
Atoms (fractional coordinates):
Bi1 0.0974 0.0974 0.7079  3 Zr 3.13, 1 Pb 3.37, 6 Bi 3.48
Bi2 0.9026 0.9026 0.2921  3 Zr 3.13, 1 Pb 3.37, 6 Bi 3.48
Pb1 0.0000 0.0000 0.0000  2 Bi 3.37, 6 Pb 3.48
Zr1 0.5000 0.5000 0.5000  6 Bi 3.13, 6 Zr 3.48

Summary:
**SG**: R-3m (166)
**Formation enthalpy at 0 K**: -0.114 eV/atom

=====

Density functional theory data (PBE) for a relaxed structure of CuNi2Ir.

a = 8.3913 Å, b = 8.3913 Å, c = 8.3913 Å
α = 17.99°, β = 17.99°, γ = 17.99°
Last column: nearest neighbours and their distance in Å.
Atoms (fractional coordinates):
Ni1 0.5016 0.5016 0.5016  3 Cu 2.53, 3 Ir 2.59, 6 Ni 2.62
Ni2 0.9984 0.9984 0.9984  3 Cu 2.53, 3 Ir 2.59, 6 Ni 2.62
Cu1 0.2500 0.2500 0.2500  6 Ni 2.53, 6 Cu 2.62
Ir1 0.7500 0.7500 0.7500  6 Ni 2.59, 6 Ir 2.62

Summary:
**SG**: R-3m (166)
**Formation enthalpy at 0 K**: 0.059 eV/atom

=====

Density functional theory data (PBE) for a relaxed structure of Pm7SmRh2.

a = 5.4327 Å, b = 8.4815 Å, c = 8.4815 Å
α = 116.77°, β = 90.00°, γ = 90.00°
Last column: nearest neighbours and their distance in Å.
Atoms (fractional coordinates):
Pm1 0.0000 0.2916 0.7084  2 Rh 2.72
Pm2 0.5000 0.6782 0.9420  2 Rh 2.93-2.95
Pm3 0.5000 0.9420 0.6782  2 Rh 2.93-2.95
Pm4 0.0000 0.7084 0.2916  2 Rh 2.72
Pm5 0.5000 0.3218 0.0580  2 Rh 2.93-2.95
Pm6 0.5000 0.0580 0.3218  2 Rh 2.93-2.95
Pm7 0.5000 0.5000 0.5000  2 Rh 2.90
Rh1 0.5000 0.2990 0.7010  7 Pm 2.72-2.95
Rh2 0.5000 0.7010 0.2990  7 Pm 2.72-2.95
Sm1 0.0000 0.0000 0.0000  8 Pm 3.72

Summary:
**SG**: Cmmm (65)
**Formation enthalpy at 0 K**: -0.094 eV/atom

=====

Density functional theory data (PBE) for a relaxed structure of LaZnCuNi3.

a = 5.1959 Å, b = 5.0389 Å, c = 7.9389 Å
α = 108.50°, β = 90.00°, γ = 90.00°
Last column: nearest neighbours and their distance in Å.
Atoms (fractional coordinates):
Ni1 0.2500 0.1119 0.2238  4 Ni 2.49, 2 Zn 2.60, 2 La 2.74
Ni2 0.0000 0.2566 0.0000  6 Ni 2.45-2.60, 2 Cu 2.46, 2 Zn 2.49
Ni3 0.5000 0.7434 0.0000  6 Ni 2.45-2.60, 2 Cu 2.46, 2 Zn 2.49
Ni4 0.7500 0.8881 0.7762  4 Ni 2.49, 2 Zn 2.60, 2 La 2.74
Ni5 0.0000 0.7434 0.0000  6 Ni 2.45-2.60, 2 Cu 2.46, 2 Zn 2.49
Ni6 0.5000 0.2566 0.0000  6 Ni 2.45-2.60, 2 Cu 2.46, 2 Zn 2.49
Zn1 0.7500 0.1121 0.2243  6 Ni 2.49-2.60, 2 Cu 2.52
Zn2 0.2500 0.8879 0.7757  6 Ni 2.49-2.60, 2 Cu 2.52
La1 0.7500 0.3168 0.6336  2 Ni 2.74, 2 Cu 2.81
La2 0.2500 0.6832 0.3664  2 Ni 2.74, 2 Cu 2.81
Cu1 0.7500 0.6118 0.2237  4 Ni 2.46, 2 Zn 2.52
Cu2 0.2500 0.3882 0.7763  4 Ni 2.46, 2 Zn 2.52

Summary:
**SG**: Cmcm (63)
**Formation enthalpy at 0 K**: -0.085 eV/atom

=====

Density functional theory data (PBE) for a relaxed structure of VFeTe2.

a = 4.7755 Å, b = 4.7755 Å, c = 4.7755 Å
α = 60.00°, β = 60.00°, γ = 60.00°
Last column: nearest neighbours and their distance in Å.
Atoms (fractional coordinates):
Te1 0.7500 0.7500 0.7500  4 Fe 2.92, 4 V 2.92
Te2 0.2500 0.2500 0.2500  4 Fe 2.92, 4 V 2.92
V1 0.0000 0.0000 0.0000  8 Te 2.92
Fe1 0.5000 0.5000 0.5000  8 Te 2.92

Summary:
**SG**: Fm-3m (225)
**ΔE_f (raw)**: 267 meV/atom

=====

Density functional theory data (PBE) for a relaxed structure of PuAl2Cl8.

a = 6.5699 Å, b = 7.9846 Å, c = 7.9846 Å
α = 68.64°, β = 81.72°, γ = 81.72°
Last column: nearest neighbours and their distance in Å.
Atoms (fractional coordinates):
Al1 0.3372 0.1973 0.1973  4 Cl 2.11-2.19
Al2 0.6628 0.8027 0.8027  4 Cl 2.11-2.19
Cl1 0.7897 0.6444 0.6444  1 Al 2.11
Cl2 0.2103 0.3556 0.3556  1 Al 2.11
Cl3 0.3251 0.8209 0.8209  1 Al 2.19
Cl4 0.7611 0.6958 0.0757  1 Al 2.19
Cl5 0.2389 0.9243 0.3042  1 Al 2.19
Cl6 0.7611 0.0757 0.6958  1 Al 2.19
Cl7 0.2389 0.3042 0.9243  1 Al 2.19
Cl8 0.6749 0.1791 0.1791  1 Al 2.19
Pu1 0.0000 0.0000 0.0000  6 Cl 2.90-2.91

Summary:
**SG**: C2/m (12)
**ΔE_f (raw)**: -1574 meV/atom
**Relative energy among the computed polymorphs**: 22 meV per atom

=====

Density functional theory data (PBE) for a relaxed structure of LaIn6Pd12.

a = 7.5751 Å, b = 7.5751 Å, c = 7.5751 Å
α = 106.10°, β = 106.10°, γ = 106.10°
Last column: nearest neighbours and their distance in Å.
Atoms (fractional coordinates):
Pd1 0.3652 0.1234 0.3652  4 In 2.81-2.93, 4 Pd 2.84-2.93, 1 La 3.01
Pd2 0.8843 0.1157 0.5000  4 In 2.66-2.72, 3 Pd 2.80-2.84
Pd3 0.1234 0.3652 0.3652  4 In 2.81-2.93, 4 Pd 2.84-2.93, 1 La 3.01
Pd4 0.6348 0.8766 0.6348  4 In 2.81-2.93, 4 Pd 2.84-2.93, 1 La 3.01
Pd5 0.3652 0.3652 0.1234  4 In 2.81-2.93, 4 Pd 2.84-2.93, 1 La 3.01
Pd6 0.6348 0.6348 0.8766  4 In 2.81-2.93, 4 Pd 2.84-2.93, 1 La 3.01
Pd7 0.8843 0.5000 0.1157  4 In 2.66-2.72, 3 Pd 2.80-2.84
Pd8 0.8766 0.6348 0.6348  4 In 2.81-2.93, 4 Pd 2.84-2.93, 1 La 3.01
Pd9 0.1157 0.5000 0.8843  4 In 2.66-2.72, 3 Pd 2.80-2.84
Pd10 0.5000 0.8843 0.1157  4 In 2.66-2.72, 3 Pd 2.80-2.84
Pd11 0.1157 0.8843 0.5000  4 In 2.66-2.72, 3 Pd 2.80-2.84
Pd12 0.5000 0.1157 0.8843  4 In 2.66-2.72, 3 Pd 2.80-2.84
La1 0.0000 0.0000 0.0000  6 Pd 3.01
In1 0.2853 0.7022 0.2853  8 Pd 2.66-2.93
In2 0.2853 0.2853 0.7022  8 Pd 2.66-2.93
In3 0.7147 0.7147 0.2978  8 Pd 2.66-2.93
In4 0.2978 0.7147 0.7147  8 Pd 2.66-2.93
In5 0.7022 0.2853 0.2853  8 Pd 2.66-2.93
In6 0.7147 0.2978 0.7147  8 Pd 2.66-2.93

Summary:
**SG**: R-3m (166)
**Formation enthalpy at 0 K**: -0.425 eV/atom

=====

Density functional theory data (PBE) for a relaxed structure of SrBeSi2O6.

a = 5.6163 Å, b = 7.1257 Å, c = 7.1257 Å
α = 90.41°, β = 71.83°, γ = 71.83°
Last column: nearest neighbours and their distance in Å.
Atoms (fractional coordinates):
O1 0.7701 0.0163 0.2322  1 Si 1.64, 1 Be 1.68
O2 0.2701 0.2322 0.0163  1 Si 1.64, 1 Be 1.68
O3 0.3698 0.3491 0.3186  2 Si 1.66-1.67
O4 0.5263 0.2030 0.6221  1 Be 1.61, 1 Si 1.62
O5 0.9737 0.3779 0.7970  1 Be 1.61, 1 Si 1.62
O6 0.4737 0.7970 0.3779  1 Be 1.61, 1 Si 1.62
O7 0.2299 0.9837 0.7678  1 Si 1.64, 1 Be 1.68
O8 0.7299 0.7678 0.9837  1 Si 1.64, 1 Be 1.68
O9 0.6302 0.6509 0.6814  2 Si 1.66-1.67
O10 0.8698 0.3186 0.3491  2 Si 1.66-1.67
O11 0.0263 0.6221 0.2030  1 Be 1.61, 1 Si 1.62
O12 0.1302 0.6814 0.6509  2 Si 1.66-1.67
Sr1 0.7500 0.1271 0.8729  6 O 2.43-2.71
Sr2 0.2500 0.8729 0.1271  6 O 2.43-2.71
Si1 0.8744 0.6132 0.7776  4 O 1.62-1.67
Si2 0.6256 0.2224 0.3868  4 O 1.62-1.67
Si3 0.1256 0.3868 0.2224  4 O 1.62-1.67
Si4 0.3744 0.7776 0.6132  4 O 1.62-1.67
Be1 0.7500 0.7878 0.2122  4 O 1.61-1.68
Be2 0.2500 0.2122 0.7878  4 O 1.61-1.68

Summary:
**SG**: C2/c (15)
**ΔE_f (raw)**: -2846 meV/atom

=====

Density functional theory data (PBE) for a relaxed structure of Pm5DyErSc2.

a = 5.5283 Å, b = 10.5023 Å, c = 10.4124 Å
α = 90.00°, β = 90.00°, γ = 105.26°
Last column: nearest neighbours and their distance in Å.
Atoms (fractional coordinates):
Pm1 0.0113 0.0227 0.0141  2 Er 3.29, 4 Sc 3.32-3.63, 2 Pm 3.65, 1 Dy 3.67
Pm2 0.4813 0.9627 0.7426  2 Er 3.15-3.37, 2 Sc 3.40
Pm3 0.9887 0.9773 0.5141  2 Er 3.29, 4 Sc 3.32-3.63, 2 Pm 3.65, 1 Dy 3.67
Pm4 0.6190 0.2379 0.5230  6 Pm 3.56-3.82, 4 Sc 3.59-3.60, 1 Dy 3.83
Pm5 0.3810 0.7621 0.0230  6 Pm 3.56-3.82, 4 Sc 3.59-3.60, 1 Dy 3.83
Pm6 0.2739 0.5478 0.3187  1 Er 3.03, 1 Sc 3.29, 2 Pm 3.35
Pm7 0.7261 0.4522 0.8187  1 Er 3.03, 1 Sc 3.29, 2 Pm 3.35
Pm8 0.6989 0.3979 0.2111  4 Pm 3.35-3.67, 2 Sc 3.42, 1 Er 3.44, 2 Dy 3.44
Pm9 0.5187 0.0373 0.2426  2 Er 3.15-3.37, 2 Sc 3.40
Pm10 0.3011 0.6021 0.7111  4 Pm 3.35-3.67, 2 Sc 3.42, 1 Er 3.44, 2 Dy 3.44
Er1 0.4068 0.8136 0.4531  5 Pm 3.03-3.37
Er2 0.5932 0.1864 0.9531  5 Pm 3.03-3.37
Sc1 0.1140 0.2280 0.7432  1 Dy 3.25, 4 Pm 3.48-3.59, 2 Er 3.55
Sc2 0.1116 0.2231 0.3026  9 Pm 3.29-3.63, 1 Dy 3.41
Sc3 0.8860 0.7720 0.2432  1 Dy 3.25, 4 Pm 3.48-3.59, 2 Er 3.55
Sc4 0.8884 0.7769 0.8026  9 Pm 3.29-3.63, 1 Dy 3.41
Dy1 0.8078 0.6156 0.5155  2 Sc 3.25-3.41, 5 Pm 3.44-3.57, 2 Er 3.48
Dy2 0.1922 0.3844 0.0155  2 Sc 3.25-3.41, 5 Pm 3.44-3.57, 2 Er 3.48

Summary:
**SG**: Cmc2_1 (36)
**Formation enthalpy at 0 K**: 0.173 eV/atom